Below is a relaxed structure of NaIrI2O, with properties calculated at the PBE-GGA level.

Geometry as CIF:
```
data_NaIrI2O
_space_group_name_H-M_alt 'P 1'
_space_group_IT_number 1
_cell_length_a 5.475
_cell_length_b 5.475
_cell_length_c 3.868
_cell_angle_alpha 90.00
_cell_angle_beta 90.00
_cell_angle_gamma 90.00
loop_
_space_group_symop_operation_xyz
'x,y,z'
loop_
_atom_site_label
_atom_site_type_symbol
_atom_site_fract_x
_atom_site_fract_y
_atom_site_fract_z
Na1 Na 0.000 0.000 0.000
O1 O 0.000 0.000 0.500
I1 I 0.500 0.000 0.000
I2 I 0.000 0.500 0.000
Ir1 Ir 0.500 0.500 0.500
```

Calculated values
DOS(E_F), states/eV/f.u.: 11.3
E_form (uncorrected), eV per atom: 1.069
Total magnetic moment, Bohr magnetons per cell: 0.03
Volume, Å³/cell: 116.0
Energy relative to the lowest polymorph listed for this composition, meV/atom: 1550
Space group: P4/mmm (123)